No. 1
A plane-wave DFT calculation with SCAN was carried out for a crystal of CrRhO2F relaxed with PBEsol.

Cell lengths 3.7222, 3.7222, 3.7947 Å; angles 90.00, 90.00, 90.00 degrees
Site moments in Bohr magnetons follow the coordinates.
Fractional coordinates of all 5 atoms:
1 F 0.0000 0.0000 0.5000  0.02
2 O 0.0000 0.5000 0.0000  0.19
3 O 0.5000 0.0000 0.0000  0.19
4 Rh 0.5000 0.5000 0.5000  2.16
5 Cr 0.0000 0.0000 0.0000  2.38

ΔE_f (raw) = -1.216 eV/atom



No. 2
A plane-wave DFT calculation with SCAN was carried out for a crystal of BaHg4W relaxed with PBEsol.

Cell lengths 5.8750, 5.8750, 5.8750 Å; angles 60.00, 60.00, 60.00 degrees
Site moments in Bohr magnetons follow the coordinates.
Fractional coordinates of all 6 atoms:
1 W 0.7500 0.7500 0.7500  2.81
2 Hg 0.3760 0.8721 0.3760  -0.02
3 Hg 0.3760 0.3760 0.8721  -0.02
4 Hg 0.8721 0.3760 0.3760  -0.02
5 Hg 0.3760 0.3760 0.3760  -0.02
6 Ba 0.0000 0.0000 0.0000  0.07

E_form = 3.54 eV/f.u.



No. 3
A plane-wave DFT calculation with SCAN was carried out for a crystal of ZrMnAl2 relaxed with PBEsol.

Cell lengths 3.0740, 3.0740, 6.5843 Å; angles 90.00, 90.00, 90.00 degrees
Site moments in Bohr magnetons follow the coordinates.
Fractional coordinates of all 4 atoms:
1 Al 0.0000 0.0000 0.0291  0.01
2 Al 0.5000 0.5000 0.2824  -0.03
3 Mn 0.0000 0.0000 0.4679  0.87
4 Zr 0.5000 0.5000 0.7205  -0.02

E_form = -0.84 eV/f.u.



No. 4
A plane-wave DFT calculation with SCAN was carried out for a crystal of MnAsBr2 relaxed with PBEsol.

Cell lengths 4.8701, 4.8701, 4.8701 Å; angles 60.00, 60.00, 60.00 degrees
Site moments in Bohr magnetons follow the coordinates.
Fractional coordinates of all 4 atoms:
1 Br 0.0000 0.0000 0.0000  -0.13
2 Br 0.7500 0.7500 0.7500  -0.23
3 As 0.5000 0.5000 0.5000  -0.58
4 Mn 0.2500 0.2500 0.2500  4.21

ΔE_f (raw) = 0.345 eV/atom
excess energy over the best structure of this formula in the dataset = 269 meV/atom



No. 5
A plane-wave DFT calculation with SCAN was carried out for a crystal of TlF relaxed with PBEsol.

Cell lengths 3.8982, 3.8982, 3.8982 Å; angles 60.00, 60.00, 60.00 degrees
Fractional coordinates of all 2 atoms:
1 F 0.5000 0.5000 0.5000
2 Tl 0.0000 0.0000 0.0000

ΔE_f (raw) = -1.753 eV/atom
excess energy over the best structure of this formula in the dataset = 57 meV/atom



No. 6
A plane-wave DFT calculation with SCAN was carried out for a crystal of VAgHgO4 relaxed with PBEsol.

Cell lengths 5.3938, 5.8221, 7.0711 Å; angles 97.18, 90.00, 117.59 degrees
Fractional coordinates of all 14 atoms:
1 O 0.1985 0.2776 0.7364
2 O 0.5031 0.7331 0.9822
3 O 0.7384 0.2299 0.4034
4 O 0.0375 0.7097 0.7820
5 O 0.9208 0.7224 0.2636
6 O 0.7700 0.2669 0.0178
7 O 0.5084 0.7701 0.5966
8 O 0.3278 0.2903 0.2180
9 V 0.3073 0.6259 0.7730
10 V 0.6814 0.3741 0.2270
11 Hg 0.0365 0.0000 0.5000
12 Hg 0.9924 0.0000 0.0000
13 Ag 0.6460 0.2637 0.7130
14 Ag 0.3823 0.7363 0.2870

ΔE_f (raw) = -1.393 eV/atom



No. 7
A plane-wave DFT calculation with SCAN was carried out for a crystal of BSbP2O relaxed with PBEsol.

Cell lengths 2.7071, 5.2832, 5.2832 Å; angles 90.00, 90.00, 90.00 degrees
Fractional coordinates of all 5 atoms:
1 Sb 0.5000 0.5000 0.5000
2 B 0.0000 0.0000 0.0000
3 P 0.0000 0.5000 0.0000
4 P 0.0000 0.0000 0.5000
5 O 0.5000 0.0000 0.0000

ΔE_f (raw) = 0.196 eV/atom



No. 8
A plane-wave DFT calculation with SCAN was carried out for a crystal of Nb2Se relaxed with PBEsol.

Cell lengths 3.3993, 7.1588, 9.2704 Å; angles 92.32, 90.00, 103.73 degrees
Fractional coordinates of all 12 atoms:
1 Se 0.8608 0.7216 0.1387
2 Se 0.1392 0.2784 0.8613
3 Se 0.5741 0.1483 0.1823
4 Se 0.4259 0.8517 0.8177
5 Nb 0.7838 0.5676 0.8762
6 Nb 0.7435 0.4869 0.3771
7 Nb 0.9157 0.8314 0.6027
8 Nb 0.5863 0.1725 0.6466
9 Nb 0.2162 0.4324 0.1238
10 Nb 0.0843 0.1686 0.3973
11 Nb 0.4137 0.8275 0.3534
12 Nb 0.2565 0.5131 0.6229

ΔE_f (raw) = -0.582 eV/atom



No. 9
A plane-wave DFT calculation with SCAN was carried out for a crystal of LaTeAs2 relaxed with PBEsol.

Cell lengths 4.2271, 4.3112, 6.0062 Å; angles 111.03, 90.00, 90.00 degrees
Fractional coordinates of all 4 atoms:
1 As 0.5000 0.9682 0.9364
2 As 0.5000 0.7500 0.4999
3 La 0.0000 0.5352 0.0704
4 Te 0.0000 0.2466 0.4933

ΔE_f (raw) = -0.939 eV/atom



No. 10
A plane-wave DFT calculation with SCAN was carried out for a crystal of La3Ge5 relaxed with PBEsol.

Cell lengths 6.0091, 7.7164, 9.4824 Å; angles 82.91, 71.53, 67.08 degrees
Fractional coordinates of all 16 atoms:
1 La 0.1986 0.6027 0.0000
2 La 0.4486 0.1027 0.5000
3 La 0.5266 0.6137 0.3375
4 La 0.8597 0.6137 0.6625
5 La 0.7722 0.1137 0.8375
6 La 0.1141 0.1137 0.1625
7 Ge 0.5429 0.2765 0.1750
8 Ge 0.6864 0.9259 0.1495
9 Ge 0.0859 0.4259 0.3505
10 Ge 0.1806 0.2765 0.8250
11 Ge 0.4882 0.4259 0.6495
12 Ge 0.0090 0.9821 0.5000
13 Ge 0.9679 0.7765 0.3250
14 Ge 0.3877 0.9259 0.8505
15 Ge 0.2556 0.7765 0.6750
16 Ge 0.7590 0.4821 0.0000

E_form = -6.90 eV/f.u.



No. 11
A plane-wave DFT calculation with SCAN was carried out for a crystal of Ho2CdHg relaxed with PBEsol.

Cell lengths 5.1557, 5.1557, 5.1557 Å; angles 60.00, 60.00, 60.00 degrees
Fractional coordinates of all 4 atoms:
1 Ho 0.2500 0.2500 0.2500
2 Ho 0.7500 0.7500 0.7500
3 Hg 0.0000 0.0000 0.0000
4 Cd 0.5000 0.5000 0.5000

E_form = -2.26 eV/f.u.



No. 12
A plane-wave DFT calculation with SCAN was carried out for a crystal of Mg3Mo relaxed with PBEsol.

Cell lengths 4.7889, 5.3322, 5.8657 Å; angles 90.00, 90.00, 90.00 degrees
Site moments in Bohr magnetons follow the coordinates.
Fractional coordinates of all 8 atoms:
1 Mg 0.5000 0.8377 0.2513  -0.01
2 Mg 0.5000 0.3528 0.0000  -0.01
3 Mg 0.0000 0.1623 0.7513  -0.01
4 Mg 0.5000 0.8377 0.7487  -0.01
5 Mg 0.0000 0.1623 0.2487  -0.01
6 Mg 0.0000 0.6472 0.5000  -0.01
7 Mo 0.5000 0.3538 0.5000  2.01
8 Mo 0.0000 0.6462 0.0000  2.01

excess energy over the best structure of this formula in the dataset = 126 meV/atom
E_form = 1.64 eV/f.u.



The records above give, respectively, total energy values of -14.8474; -63.0596; -16.3254; -18.9962; -39.7023; -21.6706; -14.1474; -29.3617; -31.1234; -28.9567; -49.7046; -12.0412 eV per atom.